Entry 1:
{
  "formula": "Ac3Pb4O12",
  "functional": "PBE",
  "state": "relaxed",
  "lattice_angstrom": [[-4.332, 4.332, 4.332], [4.332, -4.332, 4.332], [4.332, 4.332, -4.332]],
  "species": ["Ac", "Ac", "Ac", "Pb", "Pb", "Pb", "Pb", "O", "O", "O", "O", "O", "O", "O", "O", "O", "O", "O", "O"],
  "fractional_positions": [[0.000, 0.500, 0.500], [0.500, 0.000, 0.500], [0.500, 0.500, 0.000], [0.000, 0.000, 0.500], [0.000, 0.500, 0.000], [0.500, 0.000, 0.000], [0.500, 0.500, 0.500], [0.083, 0.774, 0.309], [0.226, 0.309, 0.535], [0.226, 0.691, 0.917], [0.309, 0.083, 0.774], [0.309, 0.535, 0.226], [0.465, 0.774, 0.691], [0.535, 0.226, 0.309], [0.691, 0.465, 0.774], [0.691, 0.917, 0.226], [0.774, 0.309, 0.083], [0.774, 0.691, 0.465], [0.917, 0.226, 0.691]],
  "sg": "No. 204",
  "energy_ev_per_cell": -121.8
}

=====

Entry 2:
{
  "formula": "Ac6Pb5O2",
  "functional": "PBE",
  "state": "relaxed",
  "lattice_angstrom": [[13.344, 0.000, 0.000], [0.000, 14.452, 0.000], [0.000, 0.000, 4.647]],
  "species": ["Ac", "Ac", "Ac", "Ac", "Ac", "Ac", "Ac", "Ac", "Ac", "Ac", "Ac", "Ac", "Pb", "Pb", "Pb", "Pb", "Pb", "Pb", "Pb", "Pb", "Pb", "Pb", "O", "O", "O", "O"],
  "fractional_positions": [[0.012, 0.138, 0.000], [0.189, 0.296, 0.500], [0.198, 0.587, 0.000], [0.302, 0.087, 0.000], [0.311, 0.796, 0.500], [0.488, 0.638, 0.000], [0.512, 0.362, 0.000], [0.689, 0.204, 0.500], [0.698, 0.913, 0.000], [0.802, 0.413, 0.000], [0.811, 0.704, 0.500], [0.988, 0.862, 0.000], [0.000, 0.500, 0.500], [0.070, 0.713, 0.500], [0.137, 0.991, 0.500], [0.363, 0.491, 0.500], [0.430, 0.213, 0.500], [0.500, 0.000, 0.500], [0.570, 0.787, 0.500], [0.637, 0.509, 0.500], [0.863, 0.009, 0.500], [0.930, 0.287, 0.500], [0.177, 0.221, 0.000], [0.323, 0.721, 0.000], [0.677, 0.279, 0.000], [0.823, 0.779, 0.000]],
  "sg": "No. 55",
  "energy_ev_per_cell": -137.6
}

=====

Entry 3:
{
  "formula": "Ac7Pb4O",
  "functional": "PBE",
  "state": "relaxed",
  "lattice_angstrom": [[8.956, -2.799, 0.000], [8.956, 2.799, 0.000], [-7.420, 0.000, 9.392]],
  "species": ["Ac", "Ac", "Ac", "Ac", "Ac", "Ac", "Ac", "Pb", "Pb", "Pb", "Pb", "O"],
  "fractional_positions": [[0.000, 0.000, 0.000], [0.138, 0.138, 0.546], [0.291, 0.291, 0.144], [0.432, 0.432, 0.753], [0.568, 0.568, 0.247], [0.709, 0.709, 0.856], [0.862, 0.862, 0.454], [0.078, 0.078, 0.789], [0.221, 0.221, 0.344], [0.779, 0.779, 0.656], [0.922, 0.922, 0.211], [0.500, 0.500, 0.000]],
  "sg": "No. 12",
  "energy_ev_per_cell": -57.2
}

=====

Entry 4:
{
  "formula": "AcPbO4",
  "functional": "PBE",
  "state": "relaxed",
  "lattice_angstrom": [[4.365, 0.000, 0.000], [0.000, 4.182, 0.000], [-0.545, 0.000, 5.391]],
  "species": ["Ac", "Pb", "O", "O", "O", "O"],
  "fractional_positions": [[0.000, 0.000, 0.000], [0.500, 0.500, 0.500], [0.112, 0.500, 0.253], [0.432, 0.000, 0.716], [0.568, 0.000, 0.284], [0.888, 0.500, 0.747]],
  "e_above_lowest_polymorph_ev_per_atom": 0.0000,
  "sg": "No. 10",
  "energy_ev_per_cell": -37.5
}

=====

Entry 5:
{
  "formula": "Ac4PbO10",
  "functional": "PBE",
  "state": "relaxed",
  "lattice_angstrom": [[-4.783, 4.783, 2.752], [4.783, -4.783, 2.752], [4.783, 4.783, -2.752]],
  "species": ["Ac", "Ac", "Ac", "Ac", "Pb", "O", "O", "O", "O", "O", "O", "O", "O", "O", "O"],
  "fractional_positions": [[0.097, 0.703, 0.800], [0.297, 0.097, 0.394], [0.703, 0.903, 0.606], [0.903, 0.297, 0.200], [0.500, 0.500, 0.000], [0.090, 0.376, 0.911], [0.178, 0.090, 0.713], [0.250, 0.750, 0.500], [0.376, 0.465, 0.287], [0.465, 0.178, 0.089], [0.535, 0.822, 0.911], [0.624, 0.535, 0.713], [0.750, 0.250, 0.500], [0.822, 0.910, 0.287], [0.910, 0.624, 0.089]],
  "sg": "No. 87",
  "energy_ev_per_cell": -103.1
}

=====

Entry 6:
{
  "formula": "AcPdPb2O4",
  "functional": "PBE",
  "state": "relaxed",
  "lattice_angstrom": [[1.829, -6.751, 0.000], [1.829, 6.751, 0.000], [0.000, 0.000, 11.373]],
  "species": ["Ac", "Ac", "Pd", "Pd", "Pb", "Pb", "Pb", "Pb", "O", "O", "O", "O", "O", "O", "O", "O"],
  "fractional_positions": [[0.098, 0.902, 0.750], [0.902, 0.098, 0.250], [0.193, 0.807, 0.250], [0.807, 0.193, 0.750], [0.380, 0.620, 0.565], [0.380, 0.620, 0.935], [0.620, 0.380, 0.065], [0.620, 0.380, 0.435], [0.000, 0.000, 0.000], [0.000, 0.000, 0.500], [0.315, 0.685, 0.126], [0.315, 0.685, 0.374], [0.472, 0.528, 0.750], [0.528, 0.472, 0.250], [0.685, 0.315, 0.626], [0.685, 0.315, 0.874]],
  "sg": "No. 63",
  "energy_ev_per_cell": -95.9
}

=====

Entry 7:
{
  "formula": "AcPdPb2O8",
  "functional": "PBE",
  "state": "relaxed",
  "lattice_angstrom": [[4.895, 0.000, 0.000], [0.000, 7.025, 0.000], [-0.134, 0.000, 5.100]],
  "species": ["Ac", "Pd", "Pb", "Pb", "O", "O", "O", "O", "O", "O", "O", "O"],
  "fractional_positions": [[0.000, 0.000, 0.000], [0.000, 0.500, 0.000], [0.500, 0.262, 0.500], [0.500, 0.738, 0.500], [0.140, 0.290, 0.235], [0.140, 0.710, 0.235], [0.335, 0.500, 0.759], [0.408, 0.000, 0.733], [0.592, 0.000, 0.267], [0.665, 0.500, 0.241], [0.860, 0.290, 0.765], [0.860, 0.710, 0.765]],
  "sg": "No. 10",
  "energy_ev_per_cell": -69.2
}

=====

Entry 8:
{
  "formula": "AcPdPbO4",
  "functional": "PBE",
  "state": "relaxed",
  "lattice_angstrom": [[6.153, 0.000, 0.000], [0.000, 5.179, 0.000], [-1.989, 0.000, 7.676]],
  "species": ["Ac", "Ac", "Pd", "Pd", "Pb", "Pb", "O", "O", "O", "O", "O", "O", "O", "O"],
  "fractional_positions": [[0.231, 0.250, 0.430], [0.769, 0.750, 0.570], [0.337, 0.750, 0.799], [0.663, 0.250, 0.201], [0.154, 0.250, 0.900], [0.846, 0.750, 0.100], [0.037, 0.750, 0.372], [0.055, 0.750, 0.892], [0.488, 0.004, 0.690], [0.488, 0.496, 0.690], [0.512, 0.504, 0.310], [0.512, 0.996, 0.310], [0.945, 0.250, 0.108], [0.963, 0.250, 0.628]],
  "sg": "No. 11",
  "energy_ev_per_cell": -85.1
}

=====

Entry 9:
{
  "formula": "Ac3PdPbO",
  "functional": "PBE",
  "state": "relaxed",
  "lattice_angstrom": [[9.780, 0.000, 0.000], [0.000, 4.336, 0.000], [-2.389, 0.000, 9.655]],
  "species": ["Ac", "Ac", "Ac", "Ac", "Ac", "Ac", "Pd", "Pd", "Pb", "Pb", "O", "O"],
  "fractional_positions": [[0.067, 0.250, 0.339], [0.331, 0.250, 0.979], [0.383, 0.750, 0.649], [0.617, 0.250, 0.351], [0.669, 0.750, 0.021], [0.933, 0.750, 0.661], [0.155, 0.250, 0.654], [0.845, 0.750, 0.346], [0.321, 0.750, 0.270], [0.679, 0.250, 0.730], [0.417, 0.750, 0.905], [0.583, 0.250, 0.095]],
  "sg": "No. 11",
  "energy_ev_per_cell": -68.5
}

=====

Entry 10:
{
  "formula": "Ac2PdPbO5",
  "functional": "PBE",
  "state": "relaxed",
  "lattice_angstrom": [[7.152, 0.000, 0.000], [0.000, 7.152, 0.000], [0.000, 0.000, 5.934]],
  "species": ["Ac", "Ac", "Ac", "Ac", "Pd", "Pd", "Pb", "Pb", "O", "O", "O", "O", "O", "O", "O", "O", "O", "O"],
  "fractional_positions": [[0.175, 0.325, 0.000], [0.325, 0.825, 0.000], [0.675, 0.175, 0.000], [0.825, 0.675, 0.000], [0.000, 0.500, 0.500], [0.500, 0.000, 0.500], [0.000, 0.000, 0.500], [0.500, 0.500, 0.500], [0.000, 0.000, 0.000], [0.141, 0.641, 0.258], [0.141, 0.641, 0.742], [0.359, 0.141, 0.258], [0.359, 0.141, 0.742], [0.500, 0.500, 0.000], [0.641, 0.859, 0.258], [0.641, 0.859, 0.742], [0.859, 0.359, 0.258], [0.859, 0.359, 0.742]],
  "sg": "No. 127",
  "energy_ev_per_cell": -121.7
}

=====

Entry 11:
{
  "formula": "Ac2Pd2PbO6",
  "functional": "PBE",
  "state": "relaxed",
  "lattice_angstrom": [[3.147, 1.817, 5.418], [-3.147, 1.817, 5.418], [0.000, -3.634, 5.418]],
  "species": ["Ac", "Ac", "Pd", "Pd", "Pb", "O", "O", "O", "O", "O", "O"],
  "fractional_positions": [[0.216, 0.216, 0.216], [0.784, 0.784, 0.784], [0.408, 0.408, 0.408], [0.592, 0.592, 0.592], [0.000, 0.000, 0.000], [0.193, 0.760, 0.760], [0.240, 0.240, 0.807], [0.240, 0.807, 0.240], [0.760, 0.193, 0.760], [0.760, 0.760, 0.193], [0.807, 0.240, 0.240]],
  "sg": "No. 166",
  "energy_ev_per_cell": -67.5
}

=====

Entry 12:
{
  "formula": "AcPmPb2O8",
  "functional": "PBE",
  "state": "relaxed",
  "lattice_angstrom": [[-2.832, 2.832, 5.824], [2.832, -2.832, 5.824], [2.832, 2.832, -5.824]],
  "species": ["Ac", "Pm", "Pb", "Pb", "O", "O", "O", "O", "O", "O", "O", "O"],
  "fractional_positions": [[0.000, 0.000, 0.000], [0.750, 0.250, 0.500], [0.250, 0.750, 0.500], [0.500, 0.500, 0.000], [0.092, 0.638, 0.046], [0.147, 0.216, 0.560], [0.362, 0.407, 0.454], [0.413, 0.853, 0.069], [0.593, 0.046, 0.954], [0.656, 0.587, 0.440], [0.784, 0.344, 0.931], [0.954, 0.908, 0.546]],
  "sg": "No. 82",
  "energy_ev_per_cell": -76.4
}

=====

| no. | formation energy from raw total energies (meV/atom) |
| --- | --- |
| 1 | -1850 |
| 2 | -1208 |
| 3 | -723 |
| 4 | -1636 |
| 5 | -2227 |
| 6 | -1424 |
| 7 | -1064 |
| 8 | -1390 |
| 9 | -1344 |
| 10 | -2105 |
| 11 | -1403 |
| 12 | -1705 |